[1]
Computed, not measured: crystalline Na3Cu2Sn5 at its relaxed geometry at the PBE-GGA level of DFT. Values from VASP.

Output
Crystal system: tetragonal
Energy relative to the elements: -0.11 eV per atom
Calculated volume: 24.3 Å³/atom
Energy above the most stable polymorph in this dataset: 0.000 eV per atom

```
&SYSTEM
  ibrav = 0, nat = 20, ntyp = 3
/
ATOMIC_SPECIES
Na 22.99 Na.upf
Cu 63.55 Cu.upf
Sn 118.71 Sn.upf
CELL_PARAMETERS angstrom
4.179 0.000 0.000
0.000 10.787 0.000
0.000 0.000 10.787
ATOMIC_POSITIONS crystal
Na 0.000 0.326 0.826
Na 0.000 0.674 0.174
Na 0.000 0.174 0.326
Na 0.000 0.826 0.674
Na 0.000 0.000 0.000
Na 0.000 0.500 0.500
Cu 0.000 0.124 0.624
Cu 0.000 0.876 0.376
Cu 0.000 0.376 0.124
Cu 0.000 0.624 0.876
Sn 0.500 0.220 0.070
Sn 0.500 0.780 0.930
Sn 0.500 0.930 0.220
Sn 0.500 0.070 0.780
Sn 0.500 0.280 0.570
Sn 0.500 0.720 0.430
Sn 0.500 0.570 0.720
Sn 0.500 0.430 0.280
Sn 0.500 0.000 0.500
Sn 0.500 0.500 0.000
```

---

[2]
Computed, not measured: crystalline Na3Cu2Sn7 at its relaxed geometry at the PBE-GGA level of DFT. Values from VASP.

Output
Crystal system: orthorhombic
Energy relative to the elements: 0.06 eV per atom
Calculated volume: 27.2 Å³/atom

```
&SYSTEM
  ibrav = 0, nat = 12, ntyp = 3
/
ATOMIC_SPECIES
Na 22.99 Na.upf
Cu 63.55 Cu.upf
Sn 118.71 Sn.upf
CELL_PARAMETERS angstrom
-2.900 -3.372 -0.305
3.369 -2.691 -2.276
3.048 -3.921 14.375
ATOMIC_POSITIONS crystal
Na 0.500 0.500 0.000
Na 0.500 0.705 0.409
Na 0.500 0.295 0.591
Cu 0.000 0.918 0.835
Cu 0.000 0.082 0.165
Sn 0.000 0.385 0.769
Sn 0.000 0.786 0.572
Sn 0.000 0.000 0.000
Sn 0.000 0.615 0.231
Sn 0.500 0.133 0.266
Sn 0.500 0.867 0.734
Sn 0.000 0.214 0.428
```

---

[3]
Computed, not measured: crystalline Na3CuSn at its relaxed geometry at the PBE-GGA level of DFT. Values from VASP.

Output
Crystal system: cubic
Energy relative to the elements: 0.56 eV per atom
Calculated volume: 40.6 Å³/atom
Energy above the most stable polymorph in this dataset: 0.243 eV per atom

```
&SYSTEM
  ibrav = 0, nat = 5, ntyp = 3
/
ATOMIC_SPECIES
Na 22.99 Na.upf
Sn 118.71 Sn.upf
Cu 63.55 Cu.upf
CELL_PARAMETERS angstrom
5.876 0.000 0.000
0.000 5.876 0.000
0.000 0.000 5.876
ATOMIC_POSITIONS crystal
Na 0.000 0.500 0.000
Na 0.000 0.000 0.500
Na 0.500 0.000 0.000
Sn 0.000 0.000 0.000
Cu 0.500 0.500 0.500
```

---

[4]
Computed, not measured: crystalline Na2CuSn5 at its relaxed geometry at the PBE-GGA level of DFT. Values from VASP.

Output
Crystal system: tetragonal
Energy relative to the elements: -0.06 eV per atom
Calculated volume: 28.5 Å³/atom

```
&SYSTEM
  ibrav = 0, nat = 8, ntyp = 3
/
ATOMIC_SPECIES
Na 22.99 Na.upf
Cu 63.55 Cu.upf
Sn 118.71 Sn.upf
CELL_PARAMETERS angstrom
6.681 0.000 0.000
0.000 6.681 -0.001
-3.340 -3.341 5.103
ATOMIC_POSITIONS crystal
Na 0.254 0.754 0.507
Na 0.754 0.254 0.507
Cu 0.021 0.021 0.042
Sn 0.725 0.281 0.005
Sn 0.280 0.280 0.005
Sn 0.725 0.725 0.005
Sn 0.280 0.725 0.005
Sn 0.738 0.738 0.476
```